[1]
# SrBe2Al

A relaxed SrBe2Al crystal (GGA-PBEsol, Alexandria via LeMat-Bulk).

Properties
Calculated formation energy (eV per atom): 0.0701
Uncorrected energy (eV/atom): -3.413
Total moment (μB per formula unit): 0.00
Mass density (g cm⁻³): 2.868
N(E_F) (states/eV/atom): 0.5962

Cell: 6.1079 6.1079 6.1079 Å, 37.79 37.79 37.79°
Fractional coordinates of all 4 atoms:
Sr 0.0000 0.0000 0.0000
Be 0.4810 0.4810 0.4810
Be 0.8087 0.8087 0.8087
Al 0.1901 0.1901 0.1901



[2]
# Sr2BeAl

A relaxed Sr2BeAl crystal (GGA-PBEsol, Alexandria via LeMat-Bulk).

Properties
Calculated formation energy (eV per atom): 0.6238
Uncorrected energy (eV/atom): -2.319
Total moment (μB per formula unit): 0.00
Mass density (g cm⁻³): 2.958
N(E_F) (states/eV/atom): 0.9371

Cell: 6.8677 6.8677 6.8677 Å, 102.74 102.74 123.97°
Fractional coordinates of all 8 atoms:
Sr 0.0895 0.6250 0.9645
Sr 0.3750 0.3395 0.4645
Sr 0.6605 0.1250 0.0355
Sr 0.8750 0.9105 0.5355
Be 0.0000 0.0000 0.0000
Be 0.7500 0.2500 0.5000
Al 0.2500 0.7500 0.5000
Al 0.5000 0.5000 0.0000